# LaTlSb2

An optimized crystal structure of LaTlSb2 (PBE, Alexandria).

extended XYZ file:
```
4
Lattice="1.7414 1.0054 11.6896 -1.7414 1.0054 11.6896 0.0000 -2.0107 11.6896" Properties=species:S:1:pos:R:3 pbc="T T T"
La 0.0000 0.0000 0.0000
Tl 0.0000 0.0000 8.7181
Sb 0.0000 0.0000 17.8975
Sb 0.0000 0.0000 26.0995
```

## Properties
As for the symmetry: No. 160. The value obtained for the raw formation energy is -26 meV/atom. The calculation puts the total moment at 0.0 μB per formula unit.